Record 1
PuGaRu after structural relaxation. Source: Alexandria, functional PBE.

Summary:
Symmetry: P-6m2
Energy of formation: -213 meV/atom
Uncorrected energy: -9.091 eV per atom
Crystal system: hexagonal

Geometry as POSCAR:
```
PuGaRu
1.0
3.407 0.000 0.000
0.000 4.427 0.000
0.000 -2.214 3.834
Pu Ru Ga
1 1 1
direct
0.667 0.667 0.333
0.167 0.333 0.667
0.167 0.000 0.000
```


Record 2
Mn3FePd6 after structural relaxation. Source: Alexandria, functional PBE.

Summary:
Symmetry: P2_1/m
Energy of formation: -152 meV/atom
Uncorrected energy: -6.865 eV per atom
Crystal system: monoclinic

Geometry as POSCAR:
```
Mn3FePd6
1.0
-4.077 -0.585 1.759
-0.947 -6.006 -4.191
4.038 -2.079 8.667
Pd Mn Fe
12 6 2
direct
0.250 0.071 0.863
0.250 0.255 0.481
0.250 0.160 0.170
0.750 0.929 0.137
0.750 0.745 0.519
0.250 0.857 0.285
0.250 0.663 0.671
0.750 0.337 0.329
0.250 0.466 0.076
0.750 0.534 0.924
0.750 0.143 0.715
0.750 0.840 0.830
0.750 0.452 0.625
0.250 0.367 0.778
0.250 0.780 0.978
0.750 0.220 0.022
0.250 0.548 0.375
0.750 0.633 0.222
0.750 0.038 0.429
0.250 0.962 0.571
```


Record 3
ScAlNi5 after structural relaxation. Source: Alexandria, functional PBE.

Summary:
Symmetry: Pnma
Energy of formation: -437 meV/atom
Uncorrected energy: -6.005 eV per atom
Crystal system: orthorhombic

Geometry as POSCAR:
```
ScAlNi5
1.0
4.697 0.000 0.000
0.000 7.727 0.000
0.000 0.000 9.871
Ni Sc Al
20 4 4
direct
0.750 0.811 0.750
0.006 0.565 0.806
0.250 0.689 0.250
0.494 0.565 0.806
0.250 0.189 0.250
0.994 0.435 0.194
0.994 0.935 0.306
0.750 0.401 0.983
0.250 0.599 0.017
0.750 0.547 0.588
0.506 0.435 0.194
0.250 0.953 0.088
0.494 0.065 0.694
0.750 0.901 0.517
0.750 0.047 0.912
0.506 0.935 0.306
0.006 0.065 0.694
0.250 0.453 0.412
0.750 0.311 0.750
0.250 0.099 0.483
0.250 0.749 0.559
0.750 0.251 0.441
0.250 0.249 0.941
0.750 0.751 0.059
0.250 0.360 0.643
0.750 0.640 0.357
0.750 0.140 0.143
0.250 0.860 0.857
```


Record 4
PrSn2Sb2 after structural relaxation. Source: Alexandria, functional PBE.

Summary:
Symmetry: Cmcm
Uncorrected energy: -4.643 eV per atom
Raw formation energy: -0.437 eV/atom
Crystal system: orthorhombic

Geometry as POSCAR:
```
PrSn2Sb2
1.0
-3.301 -3.010 0.073
1.298 -1.324 4.108
-7.132 11.281 5.888
Sn Sb Pr
4 4 2
direct
0.554 0.250 0.108
0.446 0.750 0.892
0.956 0.250 0.911
0.044 0.750 0.089
0.750 0.250 0.500
0.250 0.750 0.500
0.137 0.250 0.274
0.863 0.750 0.726
0.338 0.250 0.675
0.662 0.750 0.325
```


Record 5
SiBAu after structural relaxation. Source: Alexandria, functional PBE.

Summary:
Symmetry: C2
Uncorrected energy: -4.838 eV per atom
Raw formation energy: 0.288 eV/atom
Crystal system: monoclinic

Geometry as POSCAR:
```
SiBAu
1.0
-1.628 2.229 -0.081
-6.700 -4.698 5.397
1.523 1.183 2.920
Au B Si
2 2 2
direct
0.500 0.489 0.500
0.500 0.989 0.000
0.000 0.171 0.000
0.000 0.671 0.500
0.000 0.767 0.000
0.000 0.267 0.500
```


Record 6
Ta6Nb12Ga after structural relaxation. Source: Alexandria, functional PBE.

Summary:
Symmetry: R-3
Energy of formation: 118 meV/atom
Uncorrected energy: -10.144 eV per atom
Crystal system: trigonal

Geometry as POSCAR:
```
Ta6Nb12Ga
1.0
7.059 0.501 0.600
-0.575 7.053 0.600
-0.575 -0.670 7.047
Ta Nb Ga
6 12 1
direct
0.116 0.745 0.270
0.745 0.270 0.116
0.255 0.730 0.884
0.884 0.255 0.730
0.730 0.884 0.255
0.270 0.116 0.745
0.065 0.146 0.381
0.146 0.381 0.065
0.524 0.420 0.812
0.476 0.580 0.188
0.619 0.935 0.854
0.580 0.188 0.476
0.935 0.854 0.619
0.381 0.065 0.146
0.812 0.524 0.420
0.188 0.476 0.580
0.854 0.619 0.935
0.420 0.812 0.524
0.000 0.000 0.000
```